1.
Material: HoZrTi2
Method: DFT, PBE
State: relaxed

Computed properties:
* energy of formation from the pure elements: 0.1336 eV/atom
* energy: -28.38 eV per cell

Lattice parameters (Å, degrees): 3.6167 3.6167 6.7245 90.00 90.00 90.00
With the nearest neighbours (Å) after each atom.
Space group P4/mmm (No. 123)
Inequivalent atoms, fractional coordinates:
Ho 0.0000 0.0000 0.0000 [1 per cell]  8 Ti 3.24, 2 Zr 3.36, 4 Ho 3.62
Zr 0.0000 0.0000 0.5000 [1 per cell]  8 Ti 2.90
Ti 0.5000 0.5000 0.2952 [2 per cell]  1 Ti 2.75, 4 Zr 2.90

---

2.
Material: MgPaOsO6
Method: DFT, PBE
State: relaxed

Computed properties:
* formation energy without anion corrections: -2.259 eV/atom
* energy: -144.80 eV per cell

Lattice parameters (Å, degrees): 5.4322 5.4322 9.0064 90.00 90.00 120.00
With the nearest neighbours (Å) after each atom.
Space group P-31c (No. 163)
Inequivalent atoms, fractional coordinates:
Mg 0.0000 0.0000 0.0000 [2 per cell]  6 O 2.20
Pa 0.3333 0.6667 0.2500 [2 per cell]  6 O 2.19
Os 0.3333 0.6667 0.7500 [2 per cell]  6 O 1.99
O 0.0285 0.3552 0.6303 [12 per cell]  1 Os 1.99, 1 Pa 2.19, 1 Mg 2.20

---

3.
Material: TiCu2HRh
Method: DFT, PBE
State: relaxed

Computed properties:
* energy: -27.84 eV per cell

Lattice parameters (Å, degrees): 3.7128 3.7128 4.0787 90.00 90.00 90.00
With the nearest neighbours (Å) after each atom.
Space group P4/mmm (No. 123)
Inequivalent atoms, fractional coordinates:
Ti 0.0000 0.0000 0.0000 [1 per cell]  2 H 2.04
Cu 0.0000 0.5000 0.5000 [2 per cell]  2 H 1.86
H 0.0000 0.0000 0.5000 [1 per cell]  4 Cu 1.86, 2 Ti 2.04
Rh 0.5000 0.5000 0.0000 [1 per cell]  4 Ti 2.63, 8 Cu 2.76

---

4.
Material: LiTb2Ni3As4
Method: DFT, PBE
State: relaxed

Computed properties:
* energy of formation from the pure elements: -0.8200 eV/atom
* energy: -55.32 eV per cell

Lattice parameters (Å, degrees): 4.1545 4.1545 9.6469 90.00 90.00 90.00
With the nearest neighbours (Å) after each atom.
Space group P-4m2 (No. 115)
Inequivalent atoms, fractional coordinates:
Li 0.0000 0.0000 0.0000 [1 per cell]  4 As 2.46
Tb 0.0000 0.5000 0.7470 [2 per cell]  8 As 3.14-3.16, 6 Ni 3.18-3.20, 2 Li 3.20
Ni 0.0000 0.5000 0.3805 [2 per cell]  5 As 2.35-2.38
Ni 0.5000 0.5000 0.0000 [1 per cell]  4 As 2.46
As 0.0000 0.0000 0.5000 [1 per cell]  4 Ni 2.38
As 0.0000 0.5000 0.1368 [2 per cell]  3 Ni 2.35-2.46, 2 Li 2.46
As 0.5000 0.5000 0.5000 [1 per cell]  4 Ni 2.38

---

5.
Material: BeOsAu2
Method: DFT, PBE
State: relaxed

Computed properties:
* energy of formation from the pure elements: 0.5774 eV/atom
* energy: -38.40 eV per cell

Lattice parameters (Å, degrees): 4.0056 4.0056 7.5508 90.00 90.00 90.00
With the nearest neighbours (Å) after each atom.
Space group I-4m2 (No. 119)
Inequivalent atoms, fractional coordinates:
Be 0.0000 0.0000 0.0000 [2 per cell]  4 Os 2.75, 8 Au 2.75-2.83
Os 0.0000 0.5000 0.7500 [2 per cell]  4 Be 2.75, 8 Au 2.75-2.83
Au 0.0000 0.0000 0.5000 [2 per cell]  4 Os 2.75, 4 Au 2.75, 4 Be 2.83
Au 0.0000 0.5000 0.2500 [2 per cell]  4 Be 2.75, 4 Au 2.75, 4 Os 2.83

---

6.
Material: VSbTe3
Method: DFT, PBE
State: relaxed

Computed properties:
* formation energy without anion corrections: 0.922 eV/atom
* energy: -18.06 eV per cell

Lattice parameters (Å, degrees): 5.7019 5.7019 5.7019 90.00 90.00 90.00
With the nearest neighbours (Å) after each atom.
Space group Pm-3m (No. 221)
Inequivalent atoms, fractional coordinates:
V 0.0000 0.0000 0.0000 [1 per cell]  12 Te 4.03
Sb 0.5000 0.5000 0.5000 [1 per cell]  6 Te 2.85
Te 0.0000 0.5000 0.5000 [3 per cell]  2 Sb 2.85

---

no.,calculated volume (Å³ per atom)
1,21.99
2,12.79
3,11.24
4,16.65
5,15.14
6,37.07